First-principles (PBE-GGA) data for a relaxed Li5GeP3 crystal, as listed in Alexandria via LeMat-Bulk.

Values from the calculation:
Energy of formation from the pure elements, eV/atom: -0.534

a = 13.0040 Å, b = 5.9660 Å, c = 8.6404 Å
α = 90.00°, β = 109.17°, γ = 90.00°
Space group Cc (No. 9)
Unique sites:
Li (0.0000, 0.2196, 0.0000) [4 per cell]
Li (0.1556, 0.2462, 0.3459) [4 per cell]
Li (0.1744, 0.2620, 0.8602) [4 per cell]
Li (0.3266, 0.2378, 0.1918) [4 per cell]
Li (0.3362, 0.2554, 0.6855) [4 per cell]
Ge (0.4991, 0.1855, 0.0678) [4 per cell]
P (0.1598, 0.4893, 0.5961) [4 per cell]
P (0.3388, 0.0091, 0.9413) [4 per cell]
P (0.4984, 0.4740, 0.2380) [4 per cell]